Ta2NbVSn | PBE | optimized geometry

Lattice parameters (Å, degrees): 4.611 4.611 4.901 90.00 90.00 90.00
Sites, in units of the cell vectors:
Ta 0.000 0.500 0.000
Ta 0.500 0.000 0.000
Nb 0.000 0.000 0.500
V 0.500 0.500 0.000
Sn 0.500 0.500 0.500

Results
The formation energy is 5.7 eV/f.u. The volume comes out at 20.84 Å³/atom. As for the total energy: -8.25 eV/atom. The value obtained for the density of states at the Fermi level is 6.79 states/eV/f.u.